[1]
A plane-wave DFT calculation with PBE-GGA was carried out for a relaxed HfBRh3 crystal. Values from VASP.

Properties
ΔE_f = -16.375 kcal/mol of atoms
crystal system = orthorhombic

Geometry as Quantum ESPRESSO input:
```
&SYSTEM
  ibrav = 0, nat = 10, ntyp = 3
/
ATOMIC_SPECIES
Hf 178.49 Hf.upf
B 10.81 B.upf
Rh 102.91 Rh.upf
CELL_PARAMETERS angstrom
5.8014 -0.0001 -0.0001
0.0003 4.1543 -0.0003
-2.9020 0.0013 5.8611
ATOMIC_POSITIONS crystal
Hf 0.7264 0.1081 0.0663
Hf 0.9945 0.1082 0.6027
B 0.2439 0.6080 0.1013
B 0.4770 0.6083 0.5676
Rh 0.2227 0.1081 0.0589
Rh 0.4981 0.1082 0.6101
Rh 0.3604 0.6081 0.8344
Rh 0.6253 0.6084 0.3346
Rh 0.0956 0.6080 0.3343
Rh 0.8604 0.6081 0.8345
```

---

[2]
A plane-wave DFT calculation with PBE-GGA was carried out for a relaxed ScMn2Cr crystal. Values from VASP.

Properties
ΔE_f = 9.505 kcal/mol of atoms
crystal system = tetragonal

Geometry as Quantum ESPRESSO input:
```
&SYSTEM
  ibrav = 0, nat = 4, ntyp = 3
/
ATOMIC_SPECIES
Cr 52.00 Cr.upf
Mn 54.94 Mn.upf
Sc 44.96 Sc.upf
CELL_PARAMETERS angstrom
3.9605 0.0000 0.0000
0.0000 3.8915 0.0000
0.0000 0.0000 3.8915
ATOMIC_POSITIONS crystal
Cr 0.5000 0.0000 0.5000
Mn 0.0000 0.0000 0.0000
Mn 0.0000 0.5000 0.5000
Sc 0.5000 0.5000 0.0000
```

---

[3]
A plane-wave DFT calculation with PBE-GGA was carried out for a relaxed CdAsAu2 crystal. Values from VASP.

Properties
ΔE_f = 3.144 kcal/mol of atoms
crystal system = cubic

Geometry as Quantum ESPRESSO input:
```
&SYSTEM
  ibrav = 0, nat = 4, ntyp = 3
/
ATOMIC_SPECIES
As 74.92 As.upf
Au 196.97 Au.upf
Cd 112.41 Cd.upf
CELL_PARAMETERS angstrom
3.7573 -2.5264 1.5748
0.7361 -0.5184 4.7084
-0.6812 -4.2663 2.0771
ATOMIC_POSITIONS crystal
As 0.0000 0.0000 0.0000
Au 0.2500 0.2500 0.2500
Au 0.7500 0.7500 0.7500
Cd 0.5000 0.5000 0.5000
```

---

[4]
A plane-wave DFT calculation with PBE-GGA was carried out for a relaxed MgAs4 crystal. Values from VASP.

Properties
ΔE_f = -5.375 kcal/mol of atoms
crystal system = tetragonal

Geometry as Quantum ESPRESSO input:
```
&SYSTEM
  ibrav = 0, nat = 20, ntyp = 2
/
ATOMIC_SPECIES
As 74.92 As.upf
Mg 24.30 Mg.upf
CELL_PARAMETERS angstrom
5.4748 0.0000 0.0000
0.0000 5.4748 0.0000
0.0000 0.0000 16.1006
ATOMIC_POSITIONS crystal
As 0.0983 0.9761 0.3751
As 0.9017 0.0239 0.8751
As 0.5239 0.5983 0.6251
As 0.4761 0.4017 0.1251
As 0.4017 0.4761 0.8749
As 0.5983 0.5239 0.3749
As 0.9761 0.0983 0.6249
As 0.0239 0.9017 0.1249
As 0.6754 0.0675 0.2027
As 0.3246 0.9325 0.7027
As 0.4325 0.1754 0.4527
As 0.5675 0.8246 0.9527
As 0.8246 0.5675 0.0473
As 0.1754 0.4325 0.5473
As 0.0675 0.6754 0.7973
As 0.9325 0.3246 0.2973
Mg 0.1981 0.1981 0.0000
Mg 0.8019 0.8019 0.5000
Mg 0.3019 0.6981 0.2500
Mg 0.6981 0.3019 0.7500
```

---

[5]
A plane-wave DFT calculation with PBE-GGA was carried out for a relaxed Tb3Nd7Y crystal. Values from VASP.

Properties
ΔE_f = 2.622 kcal/mol of atoms
crystal system = monoclinic

Geometry as Quantum ESPRESSO input:
```
&SYSTEM
  ibrav = 0, nat = 11, ntyp = 3
/
ATOMIC_SPECIES
Tb 158.93 Tb.upf
Nd 144.24 Nd.upf
Y 88.91 Y.upf
CELL_PARAMETERS angstrom
4.8316 -0.1091 -3.0085
-1.0803 9.8253 -2.0903
-1.1085 -0.7532 9.0172
ATOMIC_POSITIONS crystal
Tb 0.2790 0.9990 0.7793
Tb 0.0000 0.5000 0.0000
Tb 0.7210 0.0010 0.2207
Nd 0.9168 0.8289 0.9168
Nd 0.8528 0.7086 0.3528
Nd 0.6816 0.3614 0.1815
Nd 0.3184 0.6386 0.8185
Nd 0.5000 0.0000 0.5000
Nd 0.1472 0.2914 0.6472
Nd 0.0832 0.1711 0.0832
Y 0.5000 0.5000 0.5000
```

---

[6]
A plane-wave DFT calculation with PBE-GGA was carried out for a relaxed AcGdZn4 crystal. Values from VASP.

Properties
ΔE_f = -6.256 kcal/mol of atoms
crystal system = cubic

Geometry as Quantum ESPRESSO input:
```
&SYSTEM
  ibrav = 0, nat = 6, ntyp = 3
/
ATOMIC_SPECIES
Ac 227.00 Ac.upf
Gd 157.25 Gd.upf
Zn 65.41 Zn.upf
CELL_PARAMETERS angstrom
5.6717 0.0000 0.0000
2.8359 4.9119 0.0000
2.8359 1.6373 4.6310
ATOMIC_POSITIONS crystal
Ac 0.2500 0.2500 0.2500
Gd 0.0000 0.0000 0.0000
Zn 0.6264 0.6264 0.1208
Zn 0.6264 0.1208 0.6264
Zn 0.6264 0.6264 0.6264
Zn 0.1208 0.6264 0.6264
```

---

[7]
A plane-wave DFT calculation with PBE-GGA was carried out for a relaxed BaP2O2 crystal. Values from VASP.

Properties
crystal system = tetragonal
raw formation energy = -764 meV/atom

Geometry as Quantum ESPRESSO input:
```
&SYSTEM
  ibrav = 0, nat = 5, ntyp = 3
/
ATOMIC_SPECIES
P 30.97 P.upf
Ba 137.33 Ba.upf
O 16.00 O.upf
CELL_PARAMETERS angstrom
4.1766 0.0000 0.0000
0.0000 4.1766 0.0000
0.0000 0.0000 4.4597
ATOMIC_POSITIONS crystal
P 0.0000 0.0000 0.0000
P 0.0000 0.0000 0.5000
Ba 0.5000 0.5000 0.5000
O 0.0000 0.5000 0.0000
O 0.5000 0.0000 0.0000
```

---

[8]
A plane-wave DFT calculation with PBE-GGA was carried out for a relaxed NiMo2PtN crystal. Values from VASP.

Properties
crystal system = tetragonal
raw formation energy = 102 meV/atom

Geometry as Quantum ESPRESSO input:
```
&SYSTEM
  ibrav = 0, nat = 5, ntyp = 4
/
ATOMIC_SPECIES
Ni 58.69 Ni.upf
Mo 95.94 Mo.upf
Pt 195.08 Pt.upf
N 14.01 N.upf
CELL_PARAMETERS angstrom
4.0226 0.0000 0.0000
0.0000 4.1892 0.0000
0.0000 0.0000 4.0226
ATOMIC_POSITIONS crystal
Ni 0.5000 0.5000 0.5000
Mo 0.0000 0.0000 0.5000
Mo 0.5000 0.0000 0.0000
Pt 0.0000 0.5000 0.0000
N 0.0000 0.0000 0.0000
```

---

no.,raw total energy (eV/atom)
1,-8.447
2,-8.161
3,-2.894
4,-4.272
5,-4.771
6,-4.152
7,-5.296
8,-8.260